1.
This record from Alexandria describes a relaxed CrCoNiRh crystal. The functional is PBE. Values from VASP.

```
&SYSTEM
  ibrav = 0, nat = 4, ntyp = 4
/
ATOMIC_SPECIES
Cr 52.00 Cr.upf
Co 58.93 Co.upf
Ni 58.69 Ni.upf
Rh 102.91 Rh.upf
ATOMIC_POSITIONS crystal
Cr 0.000 0.000 0.000
Co 0.500 0.000 0.500
Ni 0.000 0.500 0.500
Rh 0.500 0.500 0.000
CELL_PARAMETERS angstrom
3.626 0.000 0.000
0.000 3.644 0.000
0.000 0.000 3.670
```

Formation enthalpy at 0 K (eV per atom): -0.03
Symmetry: Pmmm (47)
V (Å³/cell): 48

2.
This record from Alexandria describes a relaxed La2Hg6Pb crystal. The functional is PBE. Values from VASP.

```
&SYSTEM
  ibrav = 0, nat = 9, ntyp = 3
/
ATOMIC_SPECIES
La 138.91 La.upf
Hg 200.59 Hg.upf
Pb 207.20 Pb.upf
ATOMIC_POSITIONS crystal
La 0.333 0.667 0.000
La 0.667 0.333 0.000
Hg 0.000 0.331 0.500
Hg 0.000 0.669 0.500
Hg 0.331 0.000 0.500
Hg 0.331 0.331 0.500
Hg 0.669 0.000 0.500
Hg 0.669 0.669 0.500
Pb 0.000 0.000 0.000
CELL_PARAMETERS angstrom
8.899 0.000 0.000
-4.449 7.706 0.000
0.000 0.000 3.546
```

Formation enthalpy at 0 K (eV per atom): -0.32
Symmetry: P6/mmm (191)
V (Å³/cell): 243

3.
This record from Alexandria describes a relaxed SrAl4Tl crystal. The functional is PBE. Values from VASP.

```
&SYSTEM
  ibrav = 0, nat = 6, ntyp = 3
/
ATOMIC_SPECIES
Sr 87.62 Sr.upf
Al 26.98 Al.upf
Tl 204.38 Tl.upf
ATOMIC_POSITIONS crystal
Sr 0.000 0.000 0.000
Al 0.375 0.375 0.375
Al 0.375 0.375 0.875
Al 0.375 0.875 0.375
Al 0.875 0.375 0.375
Tl 0.750 0.750 0.750
CELL_PARAMETERS angstrom
0.000 4.106 4.106
4.106 0.000 4.106
4.106 4.106 0.000
```

Formation enthalpy at 0 K (eV per atom): -0.03
Symmetry: F-43m (216)
V (Å³/cell): 138

4.
This record from Alexandria describes a relaxed Pm8Sm2Tl crystal. The functional is PBE. Values from VASP.

```
&SYSTEM
  ibrav = 0, nat = 11, ntyp = 3
/
ATOMIC_SPECIES
Pm 145.00 Pm.upf
Sm 150.36 Sm.upf
Tl 204.38 Tl.upf
ATOMIC_POSITIONS crystal
Pm 0.136 0.363 0.773
Pm 0.178 0.178 0.000
Pm 0.260 0.000 0.260
Pm 0.409 0.637 0.773
Pm 0.591 0.363 0.227
Pm 0.740 0.000 0.740
Pm 0.822 0.822 0.000
Pm 0.864 0.637 0.227
Sm 0.307 0.807 0.500
Sm 0.693 0.193 0.500
Tl 0.000 0.500 0.500
CELL_PARAMETERS angstrom
-2.797 3.863 8.767
2.797 -3.863 8.767
2.797 3.863 -8.767
```

Formation enthalpy at 0 K (eV per atom): 0.02
E above lowest polymorph (kJ per mole of atoms): 6.17
Symmetry: Immm (71)
V (Å³/cell): 379

How do the records compare in DOS at the Fermi energy? In the order shown, they have 3.89, 4.82, 4.11, 16.71 states/eV/f.u..
How do the records compare in final energy? In the order shown, they have -7.498, -2.026, -3.196, -4.505 eV per atom.